AlCr3Tc GGA-PBE optimized geometry; calculated formation energy = 614 kJ/mol of formula units; E above lowest polymorph = 0.0 meV/atom; DOS(E_F) = 4.3 states/eV/cell; total energy = -36.6 eV/cell; space-group type = No. 221
1.0
4.592 0.000 0.000
0.000 4.592 0.000
0.000 0.000 4.592
Al Cr Tc
1 3 1
direct
0.000 0.000 0.000 Al
0.000 0.500 0.500 Cr
0.500 0.000 0.500 Cr
0.500 0.500 0.000 Cr
0.500 0.500 0.500 Tc

***

AlCrTc2 GGA-PBE optimized geometry; calculated formation energy = 16 kJ/mol of formula units; DOS(E_F) = 10.6 states/eV/cell; total energy = -101.8 eV/cell; space-group type = No. 160
1.0
2.734 0.000 0.000
-1.367 2.368 0.000
0.000 0.000 26.031
Al Cr Tc
3 3 6
direct
0.000 0.000 0.000 Al
0.333 0.667 0.667 Al
0.667 0.333 0.333 Al
0.000 0.000 0.252 Cr
0.333 0.667 0.918 Cr
0.667 0.333 0.585 Cr
0.000 0.000 0.503 Tc
0.000 0.000 0.753 Tc
0.333 0.667 0.170 Tc
0.333 0.667 0.420 Tc
0.667 0.333 0.086 Tc
0.667 0.333 0.836 Tc

***

AlCrTc2 GGA-PBE optimized geometry; calculated formation energy = -38 kJ/mol of formula units; DOS(E_F) = 5.3 states/eV/cell; total energy = -34.5 eV/cell; space-group type = No. 99
1.0
2.996 0.000 0.000
0.000 2.996 0.000
0.000 0.000 6.125
Al Cr Tc
1 1 2
direct
0.000 0.000 0.000 Al
0.500 0.500 0.250 Cr
0.000 0.000 0.465 Tc
0.500 0.500 0.746 Tc

***

AlCr2Tc GGA-PBE optimized geometry; calculated formation energy = -2 kJ/mol of formula units; DOS(E_F) = 9.0 states/eV/cell; total energy = -66.7 eV/cell; space-group type = No. 12
1.0
5.063 0.000 0.000
0.000 8.407 0.000
-0.863 0.000 2.453
Al Cr Tc
2 4 2
direct
0.000 0.000 0.000 Al
0.500 0.500 0.000 Al
0.250 0.250 0.500 Cr
0.250 0.750 0.500 Cr
0.750 0.250 0.500 Cr
0.750 0.750 0.500 Cr
0.000 0.500 0.000 Tc
0.500 0.000 0.000 Tc

***

AlCr2Tc GGA-PBE optimized geometry; calculated formation energy = -56 kJ/mol of formula units; DOS(E_F) = 5.9 states/eV/cell; total energy = -67.9 eV/cell; space-group type = No. 44
1.0
2.989 0.000 0.000
0.000 4.201 0.000
0.000 0.000 8.282
Al Cr Tc
2 4 2
direct
0.000 0.000 0.000 Al
0.500 0.500 0.500 Al
0.000 0.000 0.488 Cr
0.000 0.500 0.759 Cr
0.500 0.000 0.259 Cr
0.500 0.500 0.988 Cr
0.000 0.500 0.236 Tc
0.500 0.000 0.736 Tc

***

AlCrTc2 GGA-PBE optimized geometry; calculated formation energy = 173 kJ/mol of formula units; DOS(E_F) = 7.7 states/eV/cell; total energy = -64.6 eV/cell; space-group type = No. 71
1.0
2.647 0.000 0.000
0.000 4.257 0.000
0.000 0.000 11.084
Al Cr Tc
2 2 4
direct
0.000 0.000 0.000 Al
0.500 0.500 0.500 Al
0.000 0.000 0.500 Cr
0.500 0.500 0.000 Cr
0.000 0.000 0.295 Tc
0.000 0.000 0.705 Tc
0.500 0.500 0.205 Tc
0.500 0.500 0.795 Tc

***

AlCr2Tc GGA-PBE optimized geometry; calculated formation energy = -24 kJ/mol of formula units; DOS(E_F) = 3.6 states/eV/cell; total energy = -33.6 eV/cell; space-group type = No. 6
1.0
2.604 0.000 0.000
0.000 4.102 0.000
-0.995 0.000 4.875
Al Cr Tc
1 2 1
direct
0.000 0.000 0.000 Al
0.531 0.000 0.485 Cr
0.721 0.500 0.242 Cr
0.309 0.500 0.745 Tc

***

AlCrTc2 GGA-PBE optimized geometry; calculated formation energy = -51 kJ/mol of formula units; DOS(E_F) = 3.6 states/eV/cell; total energy = -34.6 eV/cell; space-group type = No. 123
1.0
4.251 0.000 0.000
0.000 4.251 0.000
0.000 0.000 3.014
Al Cr Tc
1 1 2
direct
0.000 0.000 0.000 Al
0.500 0.500 0.000 Cr
0.000 0.500 0.500 Tc
0.500 0.000 0.500 Tc

***

Al2CrTc GGA-PBE optimized geometry; calculated formation energy = -114 kJ/mol of formula units; E above lowest polymorph = 0.0 meV/atom; DOS(E_F) = 1.6 states/eV/cell; total energy = -28.7 eV/cell; space-group type = No. 99
1.0
3.050 0.000 0.000
0.000 3.050 0.000
0.000 0.000 5.898
Al Cr Tc
2 1 1
direct
0.000 0.000 0.000 Al
0.500 0.500 0.279 Al
0.000 0.000 0.514 Cr
0.500 0.500 0.752 Tc

***

AlCr2Tc GGA-PBE optimized geometry; calculated formation energy = -27 kJ/mol of formula units; DOS(E_F) = 2.6 states/eV/cell; total energy = -33.6 eV/cell; space-group type = No. 47
1.0
3.075 0.000 0.000
0.000 4.123 0.000
0.000 0.000 4.216
Al Cr Tc
1 2 1
direct
0.000 0.000 0.000 Al
0.000 0.500 0.500 Cr
0.500 0.000 0.500 Cr
0.500 0.500 0.000 Tc

***

AlCr2Tc GGA-PBE optimized geometry; calculated formation energy = 63 kJ/mol of formula units; DOS(E_F) = 18.1 states/eV/cell; total energy = -98.1 eV/cell; space-group type = No. 166
1.0
2.693 0.000 0.000
-1.346 2.332 0.000
0.000 0.000 25.565
Al Cr Tc
3 6 3
direct
0.000 0.000 0.000 Al
0.333 0.667 0.667 Al
0.667 0.333 0.333 Al
0.000 0.000 0.249 Cr
0.000 0.000 0.751 Cr
0.333 0.667 0.418 Cr
0.333 0.667 0.915 Cr
0.667 0.333 0.085 Cr
0.667 0.333 0.582 Cr
0.000 0.000 0.500 Tc
0.333 0.667 0.167 Tc
0.667 0.333 0.833 Tc

***

Al2CrTc GGA-PBE optimized geometry; calculated formation energy = -54 kJ/mol of formula units; E above lowest polymorph = 155.1 meV/atom; DOS(E_F) = 2.5 states/eV/cell; total energy = -28.0 eV/cell; space-group type = No. 47
1.0
3.153 0.000 0.000
0.000 4.114 0.000
0.000 0.000 4.302
Al Cr Tc
2 1 1
direct
0.000 0.000 0.000 Al
0.500 0.000 0.500 Al
0.000 0.500 0.500 Cr
0.500 0.500 0.000 Tc

***

AlCrTc2 GGA-PBE optimized geometry; calculated formation energy = -3 kJ/mol of formula units; DOS(E_F) = 12.7 states/eV/cell; total energy = -136.5 eV/cell; space-group type = No. 62
1.0
5.175 0.000 0.000
0.000 8.123 0.000
0.000 0.000 5.347
Al Cr Tc
4 4 8
direct
0.011 0.250 0.233 Al
0.489 0.750 0.733 Al
0.511 0.250 0.267 Al
0.989 0.750 0.767 Al
0.021 0.750 0.262 Cr
0.479 0.250 0.762 Cr
0.521 0.750 0.238 Cr
0.979 0.250 0.738 Cr
0.248 0.510 0.413 Tc
0.248 0.990 0.413 Tc
0.252 0.010 0.913 Tc
0.252 0.490 0.913 Tc
0.748 0.510 0.087 Tc
0.748 0.990 0.087 Tc
0.752 0.010 0.587 Tc
0.752 0.490 0.587 Tc

***

AlCr2Tc GGA-PBE optimized geometry; calculated formation energy = -41 kJ/mol of formula units; DOS(E_F) = 2.4 states/eV/cell; total energy = -33.8 eV/cell; space-group type = No. 99
1.0
2.988 0.000 0.000
0.000 2.988 0.000
0.000 0.000 5.965
Al Cr Tc
1 2 1
direct
0.000 0.000 0.000 Al
0.000 0.000 0.489 Cr
0.500 0.500 0.267 Cr
0.500 0.500 0.739 Tc

***

AlCrTc2 GGA-PBE optimized geometry; calculated formation energy = -21 kJ/mol of formula units; DOS(E_F) = 3.3 states/eV/cell; total energy = -34.3 eV/cell; space-group type = No. 25
1.0
2.736 0.000 0.000
0.000 4.020 0.000
0.000 0.000 5.047
Al Cr Tc
1 1 2
direct
0.000 0.000 0.000 Al
0.500 0.500 0.234 Cr
0.000 0.000 0.495 Tc
0.500 0.500 0.759 Tc

***

AlCr2Tc GGA-PBE optimized geometry; calculated formation energy = 54 kJ/mol of formula units; DOS(E_F) = 19.2 states/eV/cell; total energy = -98.4 eV/cell; space-group type = No. 160
1.0
2.767 0.000 0.000
-1.384 2.396 0.000
0.000 0.000 24.420
Al Cr Tc
3 6 3
direct
0.000 0.000 0.000 Al
0.333 0.667 0.667 Al
0.667 0.333 0.333 Al
0.000 0.000 0.492 Cr
0.000 0.000 0.755 Cr
0.333 0.667 0.158 Cr
0.333 0.667 0.422 Cr
0.667 0.333 0.089 Cr
0.667 0.333 0.825 Cr
0.000 0.000 0.243 Tc
0.333 0.667 0.909 Tc
0.667 0.333 0.576 Tc

***

Al2CrTc GGA-PBE optimized geometry; calculated formation energy = -82 kJ/mol of formula units; E above lowest polymorph = 84.8 meV/atom; DOS(E_F) = 5.0 states/eV/cell; total energy = -56.6 eV/cell; space-group type = No. 119
1.0
4.246 0.000 0.000
0.000 4.246 0.000
0.000 0.000 5.997
Al Cr Tc
4 2 2
direct
0.000 0.000 0.000 Al
0.000 0.500 0.250 Al
0.500 0.000 0.750 Al
0.500 0.500 0.500 Al
0.000 0.000 0.500 Cr
0.500 0.500 0.000 Cr
0.000 0.500 0.750 Tc
0.500 0.000 0.250 Tc

***

AlCr2Tc GGA-PBE optimized geometry; calculated formation energy = 20 kJ/mol of formula units; DOS(E_F) = 4.2 states/eV/cell; total energy = -33.2 eV/cell; space-group type = No. 47
1.0
2.619 0.000 0.000
0.000 4.031 0.000
0.000 0.000 4.987
Al Cr Tc
1 2 1
direct
0.000 0.000 0.000 Al
0.500 0.500 0.239 Cr
0.500 0.500 0.761 Cr
0.000 0.000 0.500 Tc

***

AlCrTc2 GGA-PBE optimized geometry; calculated formation energy = -41 kJ/mol of formula units; DOS(E_F) = 3.3 states/eV/cell; total energy = -34.5 eV/cell; space-group type = No. 6
1.0
2.707 0.000 0.000
0.000 4.191 0.000
-1.243 0.000 4.860
Al Cr Tc
1 1 2
direct
0.000 0.000 0.000 Al
0.721 0.500 0.232 Cr
0.292 0.500 0.751 Tc
0.568 0.000 0.487 Tc

***

Al2CrTc GGA-PBE optimized geometry; calculated formation energy = -83 kJ/mol of formula units; E above lowest polymorph = 80.8 meV/atom; DOS(E_F) = 14.6 states/eV/cell; total energy = -113.3 eV/cell; space-group type = No. 225
1.0
6.097 0.000 0.000
0.000 6.097 0.000
0.000 0.000 6.097
Al Cr Tc
8 4 4
direct
0.250 0.250 0.250 Al
0.250 0.250 0.750 Al
0.250 0.750 0.250 Al
0.250 0.750 0.750 Al
0.750 0.250 0.250 Al
0.750 0.250 0.750 Al
0.750 0.750 0.250 Al
0.750 0.750 0.750 Al
0.000 0.000 0.000 Cr
0.000 0.500 0.500 Cr
0.500 0.000 0.500 Cr
0.500 0.500 0.000 Cr
0.000 0.000 0.500 Tc
0.000 0.500 0.000 Tc
0.500 0.000 0.000 Tc
0.500 0.500 0.500 Tc

***

Ti5Al2CrTc2 GGA-PBE optimized geometry; calculated formation energy = -13 kJ/mol of formula units; DOS(E_F) = 23.6 states/eV/cell; total energy = -154.9 eV/cell; space-group type = No. 127
1.0
9.988 0.000 0.000
0.000 9.988 0.000
0.000 0.000 3.302
Ti Al Cr Tc
10 4 2 4
direct
0.000 0.500 0.000 Ti
0.074 0.187 0.000 Ti
0.187 0.926 0.000 Ti
0.313 0.426 0.000 Ti
0.426 0.687 0.000 Ti
0.500 0.000 0.000 Ti
0.574 0.313 0.000 Ti
0.687 0.574 0.000 Ti
0.813 0.074 0.000 Ti
0.926 0.813 0.000 Ti
0.170 0.670 0.500 Al
0.330 0.170 0.500 Al
0.670 0.830 0.500 Al
0.830 0.330 0.500 Al
0.000 0.000 0.500 Cr
0.500 0.500 0.500 Cr
0.132 0.368 0.500 Tc
0.368 0.868 0.500 Tc
0.632 0.132 0.500 Tc
0.868 0.632 0.500 Tc

***

TiAlCrTc GGA-PBE optimized geometry; calculated formation energy = -105 kJ/mol of formula units; DOS(E_F) = 18.2 states/eV/cell; total energy = -130.9 eV/cell; space-group type = No. 216
1.0
6.148 0.000 0.000
0.000 6.148 0.000
0.000 0.000 6.148
Ti Al Cr Tc
4 4 4 4
direct
0.000 0.000 0.000 Ti
0.000 0.500 0.500 Ti
0.500 0.000 0.500 Ti
0.500 0.500 0.000 Ti
0.000 0.000 0.500 Al
0.000 0.500 0.000 Al
0.500 0.000 0.000 Al
0.500 0.500 0.500 Al
0.250 0.250 0.250 Cr
0.250 0.750 0.750 Cr
0.750 0.250 0.750 Cr
0.750 0.750 0.250 Cr
0.250 0.250 0.750 Tc
0.250 0.750 0.250 Tc
0.750 0.250 0.250 Tc
0.750 0.750 0.750 Tc

***

AlTl2CrTc GGA-PBE optimized geometry; calculated formation energy = 506 kJ/mol of formula units; DOS(E_F) = 5.1 states/eV/cell; total energy = -23.2 eV/cell; space-group type = No. 123
1.0
5.283 0.000 0.000
0.000 5.283 0.000
0.000 0.000 4.287
Al Tl Cr Tc
1 2 1 1
direct
0.000 0.000 0.000 Al
0.000 0.500 0.500 Tl
0.500 0.000 0.500 Tl
0.500 0.500 0.500 Cr
0.500 0.500 0.000 Tc

***

UAlCrTc GGA-PBE optimized geometry; calculated formation energy = -20 kJ/mol of formula units; DOS(E_F) = 17.6 states/eV/cell; total energy = -140.9 eV/cell; space-group type = No. 216
1.0
6.396 0.000 0.000
0.000 6.396 0.000
0.000 0.000 6.396
U Al Cr Tc
4 4 4 4
direct
0.000 0.000 0.000 U
0.000 0.500 0.500 U
0.500 0.000 0.500 U
0.500 0.500 0.000 U
0.000 0.000 0.500 Al
0.000 0.500 0.000 Al
0.500 0.000 0.000 Al
0.500 0.500 0.500 Al
0.250 0.250 0.250 Cr
0.250 0.750 0.750 Cr
0.750 0.250 0.750 Cr
0.750 0.750 0.250 Cr
0.250 0.250 0.750 Tc
0.250 0.750 0.250 Tc
0.750 0.250 0.250 Tc
0.750 0.750 0.750 Tc

***

AlVCrTc GGA-PBE optimized geometry; calculated formation energy = -87 kJ/mol of formula units; E above lowest polymorph = 27.9 meV/atom; DOS(E_F) = 8.7 states/eV/cell; total energy = -67.5 eV/cell; space-group type = No. 44
1.0
3.045 0.000 0.000
0.000 4.187 0.000
0.000 0.000 8.470
Al V Cr Tc
2 2 2 2
direct
0.000 0.000 0.000 Al
0.500 0.500 0.500 Al
0.000 0.500 0.768 V
0.500 0.000 0.268 V
0.000 0.500 0.243 Cr
0.500 0.000 0.743 Cr
0.000 0.000 0.510 Tc
0.500 0.500 0.010 Tc

***

Al2V5CrTc2 GGA-PBE optimized geometry; calculated formation energy = 118 kJ/mol of formula units; DOS(E_F) = 14.7 states/eV/cell; total energy = -164.4 eV/cell; space-group type = No. 127
1.0
9.902 0.000 0.000
0.000 9.902 0.000
0.000 0.000 3.051
Al V Cr Tc
4 10 2 4
direct
0.169 0.331 0.000 Al
0.331 0.831 0.000 Al
0.669 0.169 0.000 Al
0.831 0.669 0.000 Al
0.000 0.500 0.500 V
0.068 0.818 0.500 V
0.182 0.068 0.500 V
0.318 0.568 0.500 V
0.432 0.318 0.500 V
0.500 0.000 0.500 V
0.568 0.682 0.500 V
0.682 0.432 0.500 V
0.818 0.932 0.500 V
0.932 0.182 0.500 V
0.000 0.000 0.000 Cr
0.500 0.500 0.000 Cr
0.135 0.635 0.000 Tc
0.365 0.135 0.000 Tc
0.635 0.865 0.000 Tc
0.865 0.365 0.000 Tc

***

AlVCrTc GGA-PBE optimized geometry; calculated formation energy = -98 kJ/mol of formula units; E above lowest polymorph = 0.0 meV/atom; DOS(E_F) = 8.8 states/eV/cell; total energy = -135.5 eV/cell; space-group type = No. 216
1.0
6.055 0.000 0.000
0.000 6.055 0.000
0.000 0.000 6.055
Al V Cr Tc
4 4 4 4
direct
0.000 0.000 0.000 Al
0.000 0.500 0.500 Al
0.500 0.000 0.500 Al
0.500 0.500 0.000 Al
0.000 0.000 0.500 V
0.000 0.500 0.000 V
0.500 0.000 0.000 V
0.500 0.500 0.500 V
0.250 0.250 0.750 Cr
0.250 0.750 0.250 Cr
0.750 0.250 0.250 Cr
0.750 0.750 0.750 Cr
0.250 0.250 0.250 Tc
0.250 0.750 0.750 Tc
0.750 0.250 0.750 Tc
0.750 0.750 0.250 Tc

***

AlCrTcW GGA-PBE optimized geometry; calculated formation energy = -60 kJ/mol of formula units; DOS(E_F) = 9.7 states/eV/cell; total energy = -149.2 eV/cell; space-group type = No. 216
1.0
6.128 0.000 0.000
0.000 6.128 0.000
0.000 0.000 6.128
Al Cr Tc W
4 4 4 4
direct
0.000 0.000 0.000 Al
0.000 0.500 0.500 Al
0.500 0.000 0.500 Al
0.500 0.500 0.000 Al
0.250 0.250 0.250 Cr
0.250 0.750 0.750 Cr
0.750 0.250 0.750 Cr
0.750 0.750 0.250 Cr
0.250 0.250 0.750 Tc
0.250 0.750 0.250 Tc
0.750 0.250 0.250 Tc
0.750 0.750 0.750 Tc
0.000 0.000 0.500 W
0.000 0.500 0.000 W
0.500 0.000 0.000 W
0.500 0.500 0.500 W